Record 1
Compound: BaSi4Pd4
Source: Alexandria via LeMat-Bulk
Functional: PBE
Structure: optimized geometry

Values from the calculation:
final energy: -98.92 eV for the cell shown
energy relative to the elements, uncorrected: -0.56 eV per atom
magnetization: 0.00 μB/cell

abc: 9.1350 9.1350 4.1067
angles: 90.00 90.00 90.00
Last column: nearest neighbours and their distance in Å.
Space group I4/m (No. 87)
Inequivalent atoms, fractional coordinates:
1 Ba 0.0000 0.0000 0.0000 x2  12 Si 3.60-3.65, 8 Pd 3.83
2 Si 0.1697 0.2754 0.5000 x8  4 Pd 2.36-2.45, 2 Si 2.57
3 Pd 0.0792 0.6548 0.5000 x8  4 Si 2.36-2.45


Record 2
Compound: BaSiPd2
Source: Alexandria via LeMat-Bulk
Functional: PBE
Structure: optimized geometry

Values from the calculation:
final energy: -79.63 eV for the cell shown
energy relative to the elements, uncorrected: -0.54 eV per atom
magnetization: 0.00 μB/cell

abc: 5.3121 5.3121 15.6292
angles: 90.00 90.00 90.00
Last column: nearest neighbours and their distance in Å.
Space group I4_1/amd (No. 141, origin choice 2)
Inequivalent atoms, fractional coordinates:
1 Ba 0.0000 0.2500 0.3750 x4  8 Pd 3.55, 4 Si 3.76
2 Si 0.0000 0.2500 0.8750 x4  4 Pd 2.36
3 Pd 0.0000 0.0000 0.0000 x8  2 Si 2.36